PBE-GGA Na8Cd3Hg, relaxed; spin magnetization = 0.0 μB per cell; uncorrected energy = -1.13 eV per atom; space group = Fmmm (69); energy relative to the elements = 0.007 eV/atom
1.0
9.1504 0.0000 -0.8467
-5.7763 5.2066 4.8549
-2.4021 0.0000 8.8631
Na Cd Hg
8 3 1
Cartesian
3.1017 0.0000 0.7933
4.8138 2.6211 2.7990
0.2479 0.0000 3.1926
-0.9624 2.5855 7.6539
1.9374 2.6209 5.2145
-3.8389 2.5858 10.0695
6.4984 0.0000 4.8262
3.6440 0.0000 7.2272
-1.2008 2.6037 4.4311
3.3742 0.0000 4.0091
2.1733 2.6029 8.4393
9.1502 0.0000 -0.8462

***

PBE-GGA Ca2TbHoTe4, relaxed; spin magnetization = 0.0 μB per cell; uncorrected energy = -4.67 eV per atom; formation energy (no corrections) = -1451 meV/atom; space group = P2/m (10)
1.0
-3.6770 0.4257 2.3621
3.6893 -2.4347 6.1816
0.6076 7.7237 -0.4460
Ho Ca Te Tb
1 2 4 1
Cartesian
0.0061 -1.0045 4.2719
2.1484 2.6445 2.8678
-1.5347 4.0747 0.9581
-0.7660 1.4995 2.6186
1.3859 4.2151 5.4791
2.9033 0.0700 4.5068
1.3935 5.2189 1.2287
0.0000 0.0000 0.0000